{
  "formula": "GdMgPd",
  "functional": "PBE-GGA",
  "state": "relaxed",
  "cell": [[-0.409, 3.802, -3.327], [-3.006, -0.132, 4.079], [3.994, 3.093, 3.043]],
  "species": ["Gd", "Gd", "Mg", "Mg", "Pd", "Pd"],
  "fractional_positions": [[0.667, 0.333, 0.250], [0.333, 0.667, 0.750], [0.000, 0.000, 0.000], [0.000, 0.000, 0.500], [0.333, 0.667, 0.250], [0.667, 0.333, 0.750]],
  "sg": "No. 194",
  "final_energy_ev_per_atom": -4.385,
  "magmom_total_mub_per_cell": 0.01
}